[1]
A plane-wave DFT calculation with PBE-GGA was carried out for crystalline Nd6ErSn4 at its relaxed geometry.

Computed properties:
* E: -4.820 eV/atom
* crystal system: tetragonal
* formation energy from the elements: -0.3492 eV per atom
* symmetry: No. 121

Geometry as POSCAR:
```
Nd6ErSn4
1.0
-4.007 4.007 6.068
4.007 -4.007 6.068
4.007 4.007 -6.068
Nd Er Sn
6 1 4
direct
0.000 0.500 0.500
0.177 0.177 0.680
0.497 0.497 0.320
0.500 0.000 0.500
0.503 0.823 0.000
0.823 0.503 0.000
0.000 0.000 0.000
0.168 0.632 0.000
0.368 0.368 0.536
0.632 0.168 0.000
0.832 0.832 0.464
```

---

[2]
A plane-wave DFT calculation with PBE-GGA was carried out for crystalline TlCoC3 at its relaxed geometry.

Computed properties:
* E: -5.276 eV/atom
* crystal system: cubic
* formation energy from the elements: 2.1529 eV per atom
* symmetry: No. 221

Geometry as POSCAR:
```
TlCoC3
1.0
3.905 0.000 0.000
0.000 3.905 0.000
0.000 0.000 3.905
Tl Co C
1 1 3
direct
0.000 0.000 0.000
0.500 0.500 0.500
0.000 0.500 0.500
0.500 0.000 0.500
0.500 0.500 0.000
```

---

[3]
A plane-wave DFT calculation with PBE-GGA was carried out for crystalline YTi2AgTe at its relaxed geometry.

Computed properties:
* E_form (uncorrected): 0.67 eV per atom
* E: -4.983 eV/atom
* crystal system: tetragonal
* symmetry: No. 123

Geometry as POSCAR:
```
YTi2AgTe
1.0
4.985 0.000 0.000
0.000 4.985 0.000
0.000 0.000 5.494
Y Ti Ag Te
1 2 1 1
direct
0.000 0.000 0.000
0.000 0.500 0.500
0.500 0.000 0.500
0.500 0.500 0.500
0.500 0.500 0.000
```

---

[4]
A plane-wave DFT calculation with PBE-GGA was carried out for crystalline TiPSN2 at its relaxed geometry.

Computed properties:
* E_form (uncorrected): 0.40 eV per atom
* E: -6.418 eV/atom
* crystal system: tetragonal
* symmetry: No. 123

Geometry as POSCAR:
```
TiPSN2
1.0
3.495 0.000 0.000
0.000 3.495 0.000
0.000 0.000 4.656
Ti P S N
1 1 1 2
direct
0.000 0.000 0.000
0.500 0.500 0.500
0.500 0.500 0.000
0.000 0.500 0.500
0.500 0.000 0.500
```

---

[5]
A plane-wave DFT calculation with PBE-GGA was carried out for crystalline TaNi2PdI at its relaxed geometry.

Computed properties:
* E_form (uncorrected): 1.14 eV per atom
* E: -4.895 eV/atom
* crystal system: tetragonal
* symmetry: No. 123

Geometry as POSCAR:
```
TaNi2PdI
1.0
4.653 0.000 0.000
0.000 4.653 0.000
0.000 0.000 5.042
Ta Ni Pd I
1 2 1 1
direct
0.000 0.000 0.000
0.000 0.500 0.000
0.500 0.000 0.000
0.000 0.000 0.500
0.500 0.500 0.500
```

---

[6]
A plane-wave DFT calculation with PBE-GGA was carried out for crystalline BeTeN2O at its relaxed geometry.

Computed properties:
* E_form (uncorrected): 1.19 eV per atom
* E: -4.509 eV/atom
* crystal system: tetragonal
* symmetry: No. 123

Geometry as POSCAR:
```
BeTeN2O
1.0
3.955 0.000 0.000
0.000 3.955 0.000
0.000 0.000 3.850
Be Te N O
1 1 2 1
direct
0.000 0.000 0.000
0.500 0.500 0.500
0.000 0.500 0.500
0.500 0.000 0.500
0.500 0.500 0.000
```